(1)
Below is an optimized crystal structure of SiGeAuS, with properties calculated at the PBE level.

Unit cell a=3.2169 b=4.4116 c=6.9841 alpha=71.76 beta=87.35 gamma=89.90
Fractional positions:
Si (0.0000, 0.0000, 0.0000)
Ge (0.0515, 0.1920, 0.6121)
Au (0.0205, 0.5925, 0.8132)
S (0.4785, 0.8938, 0.2164)

Output
E above lowest polymorph   0 meV per atom
N(E_F)   0.92 states/eV/cell
Formation energy from raw total energies   -0.083 eV/atom
SG   P1
E   -4.44 eV per atom
Total magnetization   0.00 μB/atom

---

(2)
Below is an optimized crystal structure of MnRh3S, with properties calculated at the PBE level.

Unit cell a=4.3621 b=4.3621 c=4.3621 alpha=90.00 beta=90.00 gamma=90.00
Fractional positions:
Mn (0.0000, 0.0000, 0.0000)
Rh (0.0000, 0.5000, 0.5000)
Rh (0.5000, 0.0000, 0.5000)
Rh (0.5000, 0.5000, 0.0000)
S (0.5000, 0.5000, 0.5000)

Output
E above lowest polymorph   0 meV per atom
N(E_F)   3.88 states/eV/cell
Formation energy from raw total energies   0.125 eV/atom
SG   Pm-3m
E   -6.94 eV per atom
Total magnetization   1.04 μB/atom

---

(3)
Below is an optimized crystal structure of CsAcGe4, with properties calculated at the PBE level.

Unit cell a=6.1909 b=6.1909 c=6.1909 alpha=60.00 beta=60.00 gamma=60.00
Fractional positions:
Cs (0.0000, 0.0000, 0.0000)
Ac (0.2500, 0.2500, 0.2500)
Ge (0.1777, 0.6074, 0.6074)
Ge (0.6074, 0.1777, 0.6074)
Ge (0.6074, 0.6074, 0.1777)
Ge (0.6074, 0.6074, 0.6074)

Output
DFT formation energy   -0.18 eV/atom
SG   F-43m
E   -4.08 eV per atom
Total magnetization   0.00 μB/atom

---

(4)
Below is an optimized crystal structure of Pr2Ta3Ge4, with properties calculated at the PBE level.

Unit cell a=7.2766 b=7.2753 c=7.1864 alpha=90.00 beta=109.42 gamma=90.00
Fractional positions:
Pr (0.1847, 0.1687, 0.0578)
Pr (0.1847, 0.3313, 0.5578)
Pr (0.8153, 0.6687, 0.4422)
Pr (0.8153, 0.8313, 0.9422)
Ta (0.2595, 0.6698, 0.2474)
Ta (0.2595, 0.8302, 0.7474)
Ta (0.5000, 0.0000, 0.5000)
Ta (0.5000, 0.5000, 0.0000)
Ta (0.7405, 0.1698, 0.2526)
Ta (0.7405, 0.3302, 0.7526)
Ge (0.0918, 0.5442, 0.8644)
Ge (0.0918, 0.9558, 0.3644)
Ge (0.4961, 0.1325, 0.8661)
Ge (0.4961, 0.3675, 0.3661)
Ge (0.5039, 0.6325, 0.6339)
Ge (0.5039, 0.8675, 0.1339)
Ge (0.9082, 0.0442, 0.6356)
Ge (0.9082, 0.4558, 0.1356)

Output
DFT formation energy   -0.57 eV/atom
N(E_F)   9.33 states/eV/cell
SG   P2_1/c
E   -7.63 eV per atom
Total magnetization   0.00 μB/atom

---

(5)
Below is an optimized crystal structure of Al3SbS, with properties calculated at the PBE level.

Unit cell a=5.3277 b=5.3277 c=5.3277 alpha=90.00 beta=90.00 gamma=90.00
Fractional positions:
Al (0.0000, 0.0000, 0.5000)
Al (0.0000, 0.5000, 0.0000)
Al (0.5000, 0.0000, 0.0000)
Sb (0.0000, 0.0000, 0.0000)
S (0.5000, 0.5000, 0.5000)

Output
E above lowest polymorph   589 meV per atom
N(E_F)   2.65 states/eV/cell
Formation energy from raw total energies   0.876 eV/atom
SG   Pm-3m
E   -3.02 eV per atom
Total magnetization   0.00 μB/atom

---

(6)
Below is an optimized crystal structure of CdIn2Rh, with properties calculated at the PBE level.

Unit cell a=9.6647 b=9.6647 c=9.6647 alpha=19.23 beta=19.23 gamma=19.23
Fractional positions:
Cd (0.0000, 0.0000, 0.0000)
In (0.2383, 0.2383, 0.2383)
In (0.4760, 0.4760, 0.4760)
Rh (0.7402, 0.7402, 0.7402)

Output
DFT formation energy   -0.02 eV/atom
N(E_F)   2.30 states/eV/cell
SG   R3m
E   -3.45 eV per atom
Total magnetization   0.00 μB/atom

---

(7)
Below is an optimized crystal structure of CaCeThN3, with properties calculated at the PBE level.

Unit cell a=6.2758 b=3.4474 c=9.6436 alpha=90.00 beta=90.19 gamma=90.00
Fractional positions:
Ca (0.2042, 0.2500, 0.0764)
Ca (0.7958, 0.7500, 0.9236)
Ce (0.1721, 0.7500, 0.3775)
Ce (0.8279, 0.2500, 0.6225)
Th (0.3026, 0.7500, 0.7384)
Th (0.6974, 0.2500, 0.2616)
N (0.0621, 0.2500, 0.8364)
N (0.2153, 0.2500, 0.5401)
N (0.4410, 0.7500, 0.2005)
N (0.5590, 0.2500, 0.7995)
N (0.7847, 0.7500, 0.4599)
N (0.9379, 0.7500, 0.1636)

Output
N(E_F)   5.59 states/eV/cell
Formation energy from raw total energies   -1.241 eV/atom
SG   P2_1/m
E   -7.96 eV per atom
Total magnetization   0.12 μB/atom

---

(8)
Below is an optimized crystal structure of Th4CoBi, with properties calculated at the PBE level.

Unit cell a=5.8114 b=10.8489 c=6.4297 alpha=90.00 beta=103.33 gamma=90.00
Fractional positions:
Th (0.2024, 0.0300, 0.3077)
Th (0.2024, 0.4700, 0.3077)
Th (0.2668, 0.2500, 0.7350)
Th (0.2974, 0.7500, 0.6094)
Th (0.7026, 0.2500, 0.3906)
Th (0.7332, 0.7500, 0.2650)
Th (0.7976, 0.5300, 0.6923)
Th (0.7976, 0.9700, 0.6923)
Co (0.2172, 0.2500, 0.2224)
Co (0.7828, 0.7500, 0.7776)
Bi (0.1858, 0.7500, 0.0718)
Bi (0.8142, 0.2500, 0.9282)

Output
DFT formation energy   0.03 eV/atom
E above lowest polymorph   159 meV per atom
N(E_F)   14.07 states/eV/cell
SG   P2_1/m
E   -6.75 eV per atom
Total magnetization   0.00 μB/atom

---

(9)
Below is an optimized crystal structure of Pm2I5F, with properties calculated at the PBE level.

Unit cell a=8.2626 b=8.2626 c=21.8262 alpha=90.00 beta=90.00 gamma=153.03
Fractional positions:
Pm (0.2448, 0.7552, 0.6625)
Pm (0.2448, 0.7552, 0.8375)
Pm (0.7552, 0.2448, 0.1625)
Pm (0.7552, 0.2448, 0.3375)
I (0.1122, 0.8878, 0.1237)
I (0.1122, 0.8878, 0.3763)
I (0.3454, 0.6546, 0.0733)
I (0.3454, 0.6546, 0.4267)
I (0.3953, 0.6047, 0.2500)
I (0.6047, 0.3953, 0.7500)
I (0.6546, 0.3454, 0.5733)
I (0.6546, 0.3454, 0.9267)
I (0.8878, 0.1122, 0.6237)
I (0.8878, 0.1122, 0.8763)
F (0.2157, 0.7843, 0.2500)
F (0.7843, 0.2157, 0.7500)

Output
Formation energy from raw total energies   -1.576 eV/atom
SG   Cmcm
E   -3.97 eV per atom
Total magnetization   0.00 μB/atom

---

(10)
Below is an optimized crystal structure of Sr2SnB, with properties calculated at the PBE level.

Unit cell a=5.4451 b=5.4451 c=5.4451 alpha=60.00 beta=60.00 gamma=60.00
Fractional positions:
Sr (0.2500, 0.2500, 0.2500)
Sr (0.7500, 0.7500, 0.7500)
Sn (0.0000, 0.0000, 0.0000)
B (0.5000, 0.5000, 0.5000)

Output
DFT formation energy   0.32 eV/atom
E above lowest polymorph   0 meV per atom
N(E_F)   3.44 states/eV/cell
SG   Fm-3m
E   -3.20 eV per atom
Total magnetization   0.00 μB/atom

---

(11)
Below is an optimized crystal structure of InGaSn2Os, with properties calculated at the PBE level.

Unit cell a=5.1359 b=5.1359 c=5.2436 alpha=90.00 beta=90.00 gamma=90.00
Fractional positions:
In (0.0000, 0.0000, 0.0000)
Ga (0.5000, 0.5000, 0.0000)
Sn (0.0000, 0.5000, 0.5000)
Sn (0.5000, 0.0000, 0.5000)
Os (0.0000, 0.0000, 0.5000)

Output
DFT formation energy   0.33 eV/atom
E above lowest polymorph   0 meV per atom
N(E_F)   4.84 states/eV/cell
SG   P4/mmm
E   -4.67 eV per atom
Total magnetization   0.00 μB/atom

---

(12)
Below is an optimized crystal structure of Ce6ZnOs, with properties calculated at the PBE level.

Unit cell a=8.7886 b=8.7886 c=8.7886 alpha=147.63 beta=147.63 gamma=46.44
Fractional positions:
Ce (0.1094, 0.6094, 0.5000)
Ce (0.2442, 0.2442, 0.0000)
Ce (0.3906, 0.8906, 0.5000)
Ce (0.6094, 0.1094, 0.5000)
Ce (0.7558, 0.7558, 0.0000)
Ce (0.8906, 0.3906, 0.5000)
Zn (0.5000, 0.5000, 0.0000)
Os (0.0000, 0.0000, 0.0000)

Output
DFT formation energy   -0.08 eV/atom
N(E_F)   12.70 states/eV/cell
SG   I4/mmm
E   -6.09 eV per atom
Total magnetization   0.00 μB/atom

---

(13)
Below is an optimized crystal structure of Sc2CrP, with properties calculated at the PBE level.

Unit cell a=3.8917 b=5.3892 c=5.3892 alpha=39.14 beta=90.00 gamma=90.00
Fractional positions:
Sc (0.0000, 0.0000, 0.0000)
Sc (0.5000, 0.2886, 0.2886)
Cr (0.5000, 0.5730, 0.5730)
P (0.0000, 0.7170, 0.7170)

Output
DFT formation energy   -0.60 eV/atom
N(E_F)   2.88 states/eV/cell
SG   Amm2
E   -7.52 eV per atom
Total magnetization   0.64 μB/atom

---

(14)
Below is an optimized crystal structure of KCo3, with properties calculated at the PBE level.

Unit cell a=4.4177 b=4.4177 c=4.4177 alpha=60.00 beta=60.00 gamma=60.00
Fractional positions:
K (0.0000, 0.0000, 0.0000)
Co (0.2500, 0.2500, 0.2500)
Co (0.5000, 0.5000, 0.5000)
Co (0.7500, 0.7500, 0.7500)

Output
DFT formation energy   1.31 eV/atom
E above lowest polymorph   652 meV per atom
N(E_F)   4.00 states/eV/cell
SG   Fm-3m
E   -4.30 eV per atom
Total magnetization   1.21 μB/atom

---

(15)
Below is an optimized crystal structure of K2CoOs, with properties calculated at the PBE level.

Unit cell a=2.7189 b=2.7189 c=11.0720 alpha=90.00 beta=90.00 gamma=90.00
Fractional positions:
K (0.0000, 0.0000, 0.2483)
K (0.0000, 0.0000, 0.7517)
Co (0.5000, 0.5000, 0.0000)
Os (0.5000, 0.5000, 0.5000)

Output
DFT formation energy   1.35 eV/atom
E above lowest polymorph   605 meV per atom
N(E_F)   3.66 states/eV/cell
SG   P4/mmm
E   -3.78 eV per atom
Total magnetization   0.34 μB/atom

---

(16)
Below is an optimized crystal structure of AlHSe2, with properties calculated at the PBE level.

Unit cell a=7.6176 b=7.6176 c=7.6176 alpha=28.09 beta=28.09 gamma=28.09
Fractional positions:
Al (0.0000, 0.0000, 0.0000)
H (0.4373, 0.4373, 0.4373)
Se (0.1063, 0.1063, 0.1063)
Se (0.6133, 0.6133, 0.6133)

Output
E above lowest polymorph   233 meV per atom
N(E_F)   0.03 states/eV/cell
SG   R3m
E   -3.83 eV per atom
Total magnetization   0.00 μB/atom

---

(17)
Below is an optimized crystal structure of LuScAlTc, with properties calculated at the PBE level.

Unit cell a=4.7748 b=4.7748 c=4.7748 alpha=60.00 beta=60.00 gamma=60.00
Fractional positions:
Lu (0.0000, 0.0000, 0.0000)
Sc (0.5000, 0.5000, 0.5000)
Al (0.2500, 0.2500, 0.2500)
Tc (0.7500, 0.7500, 0.7500)

Output
DFT formation energy   -0.29 eV/atom
N(E_F)   2.53 states/eV/cell
SG   F-43m
E   -6.53 eV per atom
Total magnetization   0.00 μB/atom

---

(18)
Below is an optimized crystal structure of AcNd4Er, with properties calculated at the PBE level.

Unit cell a=7.1247 b=7.1247 c=10.1511 alpha=90.00 beta=90.00 gamma=121.55
Fractional positions:
Ac (0.1858, 0.8142, 0.7500)
Ac (0.8142, 0.1858, 0.2500)
Nd (0.2050, 0.3461, 0.7500)
Nd (0.3270, 0.6730, 0.0708)
Nd (0.3270, 0.6730, 0.4292)
Nd (0.3461, 0.2050, 0.2500)
Nd (0.6539, 0.7950, 0.7500)
Nd (0.6730, 0.3270, 0.5708)
Nd (0.6730, 0.3270, 0.9292)
Nd (0.7950, 0.6539, 0.2500)
Er (0.0000, 0.0000, 0.0000)
Er (0.0000, 0.0000, 0.5000)

Output
DFT formation energy   0.24 eV/atom
E above lowest polymorph   66 meV per atom
N(E_F)   21.08 states/eV/cell
SG   Cmcm
E   -4.39 eV per atom
Total magnetization   0.00 μB/atom

---

(19)
Below is an optimized crystal structure of Pm2BiIr, with properties calculated at the PBE level.

Unit cell a=5.0416 b=5.0416 c=4.0724 alpha=90.00 beta=90.00 gamma=90.00
Fractional positions:
Pm (0.0000, 0.5000, 0.0000)
Pm (0.5000, 0.0000, 0.0000)
Bi (0.0000, 0.0000, 0.5000)
Ir (0.5000, 0.5000, 0.5000)

Output
DFT formation energy   -0.48 eV/atom
E above lowest polymorph   181 meV per atom
N(E_F)   3.38 states/eV/cell
SG   P4/mmm
E   -6.04 eV per atom
Total magnetization   0.00 μB/atom

---

(20)
Below is an optimized crystal structure of ZnIn2O, with properties calculated at the PBE level.

Unit cell a=4.7397 b=4.7397 c=4.7397 alpha=60.00 beta=60.00 gamma=60.00
Fractional positions:
Zn (0.0000, 0.0000, 0.0000)
In (0.2500, 0.2500, 0.2500)
In (0.7500, 0.7500, 0.7500)
O (0.5000, 0.5000, 0.5000)

Output
E above lowest polymorph   402 meV per atom
N(E_F)   0.88 states/eV/cell
Formation energy from raw total energies   0.011 eV/atom
SG   Fm-3m
E   -2.92 eV per atom
Total magnetization   0.00 μB/atom

---

(21)
Below is an optimized crystal structure of POsN2, with properties calculated at the PBE level.

Unit cell a=4.4765 b=4.4765 c=5.7302 alpha=129.33 beta=129.33 gamma=35.58
Fractional positions:
P (0.0000, 0.0000, 0.0000)
Os (0.6492, 0.6492, 0.6397)
N (0.1084, 0.1084, 0.8408)
N (0.6008, 0.6008, 0.2312)

Output
N(E_F)   3.05 states/eV/cell
Formation energy from raw total energies   0.199 eV/atom
SG   Cm
E   -8.12 eV per atom
Total magnetization   0.00 μB/atom

---

(22)
Below is an optimized crystal structure of Ac2PdPbO6, with properties calculated at the PBE level.

Unit cell a=6.4265 b=6.4265 c=5.4873 alpha=113.45 beta=113.45 gamma=52.85
Fractional positions:
Ac (0.2441, 0.2441, 0.2187)
Ac (0.7559, 0.7559, 0.7813)
Pd (0.0000, 0.0000, 0.5000)
Pb (0.5000, 0.5000, 0.0000)
O (0.1564, 0.6769, 0.1914)
O (0.2994, 0.2994, 0.7030)
O (0.3231, 0.8436, 0.8086)
O (0.6769, 0.1564, 0.1914)
O (0.7006, 0.7006, 0.2970)
O (0.8436, 0.3231, 0.8086)

Output
Formation energy from raw total energies   -2.019 eV/atom
SG   C2/m
E   -6.71 eV per atom
Total magnetization   0.00 μB/atom

---

(23)
Below is an optimized crystal structure of SrP2SN, with properties calculated at the PBE level.

Unit cell a=4.1370 b=4.1370 c=5.1321 alpha=90.00 beta=90.00 gamma=90.00
Fractional positions:
Sr (0.0000, 0.0000, 0.0000)
P (0.0000, 0.5000, 0.5000)
P (0.5000, 0.0000, 0.5000)
S (0.5000, 0.5000, 0.0000)
N (0.5000, 0.5000, 0.5000)

Output
E above lowest polymorph   0 meV per atom
N(E_F)   4.82 states/eV/cell
Formation energy from raw total energies   0.342 eV/atom
SG   P4/mmm
E   -4.65 eV per atom
Total magnetization   0.00 μB/atom

---

(24)
Below is an optimized crystal structure of Cs6AgPt, with properties calculated at the PBE level.

Unit cell a=9.1441 b=9.1441 c=9.0603 alpha=90.30 beta=90.30 gamma=120.12
Fractional positions:
Cs (0.0001, 0.2971, 0.2250)
Cs (0.9999, 0.7029, 0.7750)
Cs (0.2971, 0.0001, 0.2250)
Cs (0.2978, 0.2978, 0.7790)
Cs (0.7022, 0.7022, 0.2210)
Cs (0.7029, 0.9999, 0.7750)
Ag (0.0000, 0.0000, 0.5000)
Pt (0.0000, 0.0000, 0.0000)

Output
DFT formation energy   0.01 eV/atom
N(E_F)   5.08 states/eV/cell
SG   C2/m
E   -1.74 eV per atom
Total magnetization   0.00 μB/atom

---

(25)
Below is an optimized crystal structure of Ce3InPt4, with properties calculated at the PBE level.

Unit cell a=8.3914 b=8.3914 c=8.3914 alpha=153.39 beta=133.20 gamma=54.65
Fractional positions:
Ce (0.0000, 0.0000, 0.0000)
Ce (0.3084, 0.8084, 0.5000)
Ce (0.6916, 0.1916, 0.5000)
In (0.5000, 0.5000, 0.0000)
Pt (0.0743, 0.3708, 0.7035)
Pt (0.3328, 0.6292, 0.7035)
Pt (0.6672, 0.3708, 0.2965)
Pt (0.9257, 0.6292, 0.2965)

Output
DFT formation energy   -0.92 eV/atom
N(E_F)   14.36 states/eV/cell
SG   Immm
E   -6.51 eV per atom
Total magnetization   0.26 μB/atom

---

(26)
Below is an optimized crystal structure of BaMoAsBr2, with properties calculated at the PBE level.

Unit cell a=5.3805 b=5.3805 c=4.9656 alpha=90.00 beta=90.00 gamma=90.00
Fractional positions:
Ba (0.0000, 0.0000, 0.0000)
Mo (0.5000, 0.5000, 0.5000)
As (0.5000, 0.5000, 0.0000)
Br (0.0000, 0.5000, 0.5000)
Br (0.5000, 0.0000, 0.5000)

Output
E above lowest polymorph   0 meV per atom
N(E_F)   2.12 states/eV/cell
Formation energy from raw total energies   -0.589 eV/atom
SG   P4/mmm
E   -4.74 eV per atom
Total magnetization   0.42 μB/atom